# 1
{
  "formula": "AcTiGe2Rh",
  "functional": "PBE",
  "state": "optimized geometry",
  "delta_e_f_ev_per_atom": -0.786,
  "mass_density_g_cm3": 8.4,
  "dft_energy_ev_per_atom": -6.50,
  "space_group": "I-4m2 (119)",
  "magnetic_moment_mub_per_cell": 0.0,
  "cell": [[4.3267, 0.0000, 0.0000], [0.0000, 4.3267, 0.0000], [-2.1633, -2.1633, 5.5233]],
  "species": ["Ge", "Ge", "Ti", "Rh", "Ac"],
  "frac_coords": [[0.3754, 0.3754, 0.7507], [0.6246, 0.6246, 0.2493], [0.2500, 0.7500, 0.5000], [0.7500, 0.2500, 0.5000], [0.0000, 0.0000, 0.0000]]
}

---

# 2
{
  "formula": "Ac2TlGe3Rh4",
  "functional": "PBE",
  "state": "optimized geometry",
  "delta_e_f_ev_per_atom": -0.695,
  "mass_density_g_cm3": 10.3,
  "dft_energy_ev_per_atom": -6.08,
  "space_group": "P-4m2 (115)",
  "magnetic_moment_mub_per_cell": 0.0,
  "cell": [[4.3439, 0.0000, 0.0000], [0.0000, 4.3439, 0.0000], [0.0000, 0.0000, 10.9900]],
  "species": ["Rh", "Rh", "Rh", "Rh", "Ge", "Ge", "Ge", "Tl", "Ac", "Ac"],
  "frac_coords": [[0.0000, 0.0000, 0.0000], [0.5000, 0.0000, 0.6565], [0.0000, 0.5000, 0.3435], [0.5000, 0.5000, 0.0000], [0.5000, 0.0000, 0.8828], [0.0000, 0.5000, 0.1172], [0.0000, 0.0000, 0.5000], [0.5000, 0.5000, 0.5000], [0.5000, 0.0000, 0.2459], [0.0000, 0.5000, 0.7541]]
}

---

# 3
{
  "formula": "Ac2TmGe4Rh3",
  "functional": "PBE",
  "state": "optimized geometry",
  "delta_e_f_ev_per_atom": -0.794,
  "mass_density_g_cm3": 9.4,
  "dft_energy_ev_per_atom": -6.11,
  "space_group": "P-4m2 (115)",
  "magnetic_moment_mub_per_cell": 0.0,
  "cell": [[4.3775, 0.0000, 0.0000], [0.0000, 4.3775, 0.0000], [0.0000, 0.0000, 11.2084]],
  "species": ["Ac", "Ac", "Rh", "Rh", "Rh", "Ge", "Ge", "Ge", "Ge", "Tm"],
  "frac_coords": [[0.5000, 0.0000, 0.2306], [0.0000, 0.5000, 0.7694], [0.5000, 0.0000, 0.8862], [0.0000, 0.0000, 0.5000], [0.0000, 0.5000, 0.1138], [0.0000, 0.5000, 0.3403], [0.0000, 0.0000, 0.0000], [0.5000, 0.5000, 0.0000], [0.5000, 0.0000, 0.6597], [0.5000, 0.5000, 0.5000]]
}

---

# 4
{
  "formula": "Ac2UGe3Rh12",
  "functional": "PBE",
  "state": "optimized geometry",
  "delta_e_f_ev_per_atom": -0.164,
  "mass_density_g_cm3": 9.8,
  "dft_energy_ev_per_atom": -6.92,
  "space_group": "R-3m (166)",
  "magnetic_moment_mub_per_cell": 0.0,
  "cell": [[-3.7049, 2.2685, 6.6675], [3.6412, -1.0085, 7.0038], [2.6633, 6.3756, 3.9481]],
  "species": ["Rh", "Rh", "Rh", "Rh", "Rh", "Rh", "Rh", "Rh", "Rh", "Rh", "Rh", "Rh", "Ge", "Ge", "Ge", "Ac", "Ac", "U"],
  "frac_coords": [[0.3655, 0.8878, 0.3655], [0.8704, 0.8704, 0.3793], [0.1122, 0.6345, 0.6345], [0.3655, 0.3655, 0.8878], [0.8878, 0.3655, 0.3655], [0.6345, 0.1122, 0.6345], [0.1296, 0.1296, 0.6207], [0.6345, 0.6345, 0.1122], [0.1296, 0.6207, 0.1296], [0.6207, 0.1296, 0.1296], [0.8704, 0.3793, 0.8704], [0.3793, 0.8704, 0.8704], [0.5000, 0.0000, 0.0000], [0.0000, 0.5000, 0.0000], [0.0000, 0.0000, 0.5000], [0.3895, 0.3895, 0.3895], [0.6105, 0.6105, 0.6105], [0.0000, 0.0000, 0.0000]]
}